[1]
Er3Ir2Rh2 | the Alexandria database | PBE | optimized geometry; space-group type = C2/m (12); energy = -50.39 eV/cell; DOS(E_F) = 0.751 states/eV/atom
1.0
4.461 0.104 -0.539
-2.427 4.144 -0.545
0.866 -0.556 7.031
Er Rh Ir
3 2 2
Cartesian
0.000 0.000 0.000 Er
2.817 0.423 4.632 Er
0.083 3.270 1.316 Er
2.582 2.715 3.151 Rh
0.317 0.978 2.796 Rh
2.278 1.703 0.442 Ir
0.621 1.989 5.506 Ir

---

[2]
ErIrRh2 | the Alexandria database | PBE | optimized geometry; space-group type = P4/mmm (123); excess energy over the best structure of this formula in the dataset = 0.00 eV/f.u.; energy = -30.22 eV/cell; DOS(E_F) = 1.198 states/eV/atom
1.0
3.972 0.000 0.000
0.000 4.060 0.000
0.000 0.000 4.060
Rh Er Ir
2 1 1
Cartesian
0.000 2.030 0.000 Rh
0.000 0.000 2.030 Rh
1.986 0.000 0.000 Er
1.986 2.030 2.030 Ir

---

[3]
Er6Ir2Rh | the Alexandria database | PBE | optimized geometry; space-group type = P2_1/c (14); energy = -116.95 eV/cell; DOS(E_F) = 0.812 states/eV/atom
1.0
-0.583 6.384 1.369
-4.687 -1.580 5.373
7.165 -0.250 6.177
Er Ir Rh
12 4 2
Cartesian
1.479 0.493 4.701 Er
-0.667 3.430 4.925 Er
2.974 4.093 10.482 Er
5.112 0.756 5.147 Er
2.930 3.769 5.386 Er
-1.079 0.460 2.436 Er
2.562 1.123 7.993 Er
5.511 3.809 7.625 Er
-3.217 3.798 7.772 Er
0.415 4.060 8.217 Er
-3.616 0.744 5.293 Er
-1.036 0.784 7.533 Er
0.838 2.677 2.710 Ir
2.911 5.333 7.879 Ir
1.056 1.876 10.209 Ir
-1.016 -0.779 5.039 Ir
-2.635 2.402 3.371 Rh
3.582 -0.125 3.089 Rh